Entry 1:
A relaxed structure of Y2TlAu2. Source: Alexandria via LeMat-Bulk, functional PBE.

abc: 3.896 3.896 8.961
angles: 77.44 77.44 90.00
Fractional positions:
Au1 0.750 0.250 0.500
Y1 0.612 0.612 0.776
Au2 0.250 0.750 0.500
Y2 0.388 0.388 0.224
Tl1 0.000 0.000 0.000

Output
- Formation energy from the elements: -413 meV per atom
- N(E_F): 3.48 states/eV/f.u.
- Energy: -4.78 eV/atom

=====

Entry 2:
A relaxed structure of KAlSiO4. Source: Alexandria via LeMat-Bulk, functional PBE.

abc: 5.379 5.379 5.405
angles: 119.84 119.84 90.00
Fractional positions:
O1 0.890 0.558 0.259
K1 0.000 0.000 0.000
O2 0.370 0.701 0.259
Al1 0.500 0.500 0.000
O3 0.442 0.630 0.741
O4 0.299 0.110 0.741
Si1 0.250 0.750 0.500

Output
- Energy relative to the lowest polymorph listed for this composition: 0.013 eV/atom
- N(E_F): 0.00 states/eV/f.u.
- Energy: -7.08 eV/atom

=====

Entry 3:
A relaxed structure of CuTc2W. Source: Alexandria via LeMat-Bulk, functional PBE.

abc: 6.966 6.966 5.583
angles: 51.40 51.40 90.00
Fractional positions:
Tc1 0.375 0.362 0.750
Tc2 0.638 0.125 0.250
W1 0.750 0.250 0.500
W2 0.000 0.000 0.000
Tc3 0.875 0.888 0.750
Tc4 0.112 0.625 0.250
Cu1 0.250 0.750 0.500
Cu2 0.500 0.500 0.000

Output
- Energy relative to the lowest polymorph listed for this composition: 0.675 eV/atom
- Formation energy from the elements: 832 meV per atom
- N(E_F): 3.71 states/eV/f.u.
- Energy: -8.61 eV/atom

=====

Entry 4:
A relaxed structure of PrSi2Tc2B. Source: Alexandria via LeMat-Bulk, functional PBE.

abc: 4.232 4.232 5.370
angles: 90.00 90.00 90.00
Fractional positions:
Si1 0.500 0.500 0.264
Tc1 0.500 0.000 0.000
Pr1 0.000 0.000 0.500
Tc2 0.000 0.500 0.000
B1 0.000 0.000 0.000
Si2 0.500 0.500 0.736

Output
- N(E_F): 3.79 states/eV/f.u.
- Energy: -7.79 eV/atom

=====

Entry 5:
A relaxed structure of Ba3La3SmSe8. Source: Alexandria via LeMat-Bulk, functional PBE.

abc: 8.786 8.785 9.112
angles: 118.83 90.00 120.00
Fractional positions:
Sm1 0.000 0.000 0.500
Se1 0.764 0.529 0.282
Se2 0.764 0.018 0.282
Se3 0.236 0.982 0.718
Se4 0.254 0.018 0.282
La1 0.500 0.500 0.500
La2 0.000 0.500 0.500
Ba1 0.000 0.500 0.000
Se5 0.742 0.485 0.727
Se6 0.746 0.982 0.718
Ba2 0.500 0.500 0.000
Se7 0.258 0.515 0.273
Se8 0.236 0.471 0.718
La3 0.500 0.000 0.500
Ba3 0.000 0.000 0.000

Output
- N(E_F): 4.76 states/eV/f.u.
- Energy: -5.54 eV/atom

=====

Entry 6:
A relaxed structure of Mn4TlTc. Source: Alexandria via LeMat-Bulk, functional PBE.

abc: 4.845 4.845 4.845
angles: 60.00 60.00 60.00
Last column: magnetic moment on the atom in μB.
Fractional positions:
Mn1 0.375 0.375 0.875  1.39
Tc1 0.750 0.750 0.750  -0.50
Mn2 0.375 0.875 0.375  1.39
Tl1 0.000 0.000 0.000  -0.04
Mn3 0.375 0.375 0.375  1.39
Mn4 0.875 0.375 0.375  1.39

Output
- Formation energy from the elements: 370 meV per atom
- N(E_F): 7.03 states/eV/f.u.
- Energy: -7.87 eV/atom

=====

What is the N(E_F) in the sixth record?
7.03 states/eV/f.u.

=====

Which value of N(E_F) does entry 2 give?
0.00 states/eV/f.u.